Below is crystalline Cd2AgAs at its relaxed geometry, with properties calculated at the GGA-PBE level.

Structure (POSCAR):
```
Cd2AgAs
1.0
-1.859 -3.448 3.539
1.388 -4.848 -1.563
2.876 4.383 0.627
Cd As Ag
2 1 1
direct
0.500 0.500 0.000
0.000 0.000 0.000
0.750 0.250 0.500
0.250 0.750 0.500
```

Results
- volume (A^3/atom) = 20.6
- energy relative to the elements (eV/atom) = 0.087
- total magnetic moment (Bohr magnetons per cell) = 0.0
- VASP energy (eV for the cell shown) = -8.98
- mass density (Mg/m³) = 8.226